Entry from Alexandria via LeMat-Bulk: crystalline MgAlMoW2 at its relaxed geometry (PBE-GGA).

Computed properties:
Total moment (μB/atom): 0.00
Raw total energy (eV per atom): -6.20
Energy relative to the elements (eV/atom): 2.211

CIF file:
```
data_MgAlMoW2
_space_group_name_H-M_alt 'P 4/m m m'
_space_group_IT_number 123
_space_group_name_Hall '-P 4 2'
_cell_length_a 4.606
_cell_length_b 4.606
_cell_length_c 4.315
_cell_angle_alpha 90.00
_cell_angle_beta 90.00
_cell_angle_gamma 90.00
loop_
_atom_site_label
_atom_site_type_symbol
_atom_site_fract_x
_atom_site_fract_y
_atom_site_fract_z
Mg1 Mg 0.000 0.000 0.000
Al1 Al 0.000 0.000 0.500
Mo1 Mo 0.500 0.500 0.500
W1 W 0.000 0.500 0.000
```